# 1
A relaxed DyTlAgTe3 crystal. Source: OQMD, functional PBE-GGA.

The structure in CIF format:
```
data_DyTlAgTe3
_chemical_formula_sum 'Dy4 Tl4 Ag4 Te12'
_cell_length_a 15.750
_cell_length_b 4.270
_cell_length_c 11.552
_cell_angle_alpha 90.00
_cell_angle_beta 90.00
_cell_angle_gamma 90.00
_symmetry_space_group_name_H-M 'P n m a'
_symmetry_Int_Tables_number 62
_symmetry_space_group_name_Hall '-P 2ac 2n'
loop_
_atom_site_label
_atom_site_fract_x
_atom_site_fract_y
_atom_site_fract_z
Dy1 0.016 0.250 0.165
Tl1 0.225 0.250 0.447
Ag1 0.013 0.750 0.407
Te1 0.104 0.750 0.624
Te2 0.107 0.250 0.930
Te3 0.144 0.750 0.238
```

## Properties
* volume: 32.37 Å³ per atom
* uncorrected energy: -3.881 eV/atom
* total magnetic moment: 0.000 μB/atom


# 2
A relaxed DyTlAgTe3 crystal. Source: OQMD, functional PBE-GGA.

The structure in CIF format:
```
data_DyTlAgTe3
_chemical_formula_sum 'Dy4 Tl4 Ag4 Te12'
_cell_length_a 4.234
_cell_length_b 15.512
_cell_length_c 11.423
_cell_angle_alpha 90.00
_cell_angle_beta 90.00
_cell_angle_gamma 90.00
_symmetry_space_group_name_H-M 'C m c m'
_symmetry_Int_Tables_number 63
_symmetry_space_group_name_Hall '-C 2c 2'
loop_
_atom_site_label
_atom_site_fract_x
_atom_site_fract_y
_atom_site_fract_z
Dy1 0.000 0.000 0.000
Tl1 0.000 0.238 0.250
Ag1 0.000 0.463 0.750
Te1 0.000 0.083 0.750
Te2 0.000 0.361 0.549
```

## Properties
* volume: 31.26 Å³ per atom
* uncorrected energy: -3.881 eV/atom
* total magnetic moment: 0.000 μB/atom


# 3
A relaxed DyTmAg2Te4 crystal. Source: OQMD, functional PBE-GGA.

The structure in CIF format:
```
data_DyTmAg2Te4
_chemical_formula_sum 'Dy2 Tm2 Ag4 Te8'
_cell_length_a 10.016
_cell_length_b 10.043
_cell_length_c 4.697
_cell_angle_alpha 90.00
_cell_angle_beta 90.00
_cell_angle_gamma 90.00
_symmetry_space_group_name_H-M 'C m m 2'
_symmetry_Int_Tables_number 35
_symmetry_space_group_name_Hall 'C 2 -2'
loop_
_atom_site_label
_atom_site_fract_x
_atom_site_fract_y
_atom_site_fract_z
Dy1 0.000 0.000 0.000
Tm1 0.000 0.500 0.391
Ag1 0.250 0.250 0.195
Te1 0.000 0.203 0.486
Te2 0.199 0.500 0.906
```

## Properties
* volume: 29.53 Å³ per atom
* uncorrected energy: -4.316 eV/atom
* total magnetic moment: 0.000 μB/atom


# 4
A relaxed DyYAg2Te4 crystal. Source: OQMD, functional PBE-GGA.

The structure in CIF format:
```
data_DyYAg2Te4
_chemical_formula_sum 'Dy2 Y2 Ag4 Te8'
_cell_length_a 10.057
_cell_length_b 10.057
_cell_length_c 4.729
_cell_angle_alpha 90.00
_cell_angle_beta 90.00
_cell_angle_gamma 90.00
_symmetry_space_group_name_H-M 'C m m 2'
_symmetry_Int_Tables_number 35
_symmetry_space_group_name_Hall 'C 2 -2'
loop_
_atom_site_label
_atom_site_fract_x
_atom_site_fract_y
_atom_site_fract_z
Dy1 0.000 0.000 0.000
Y1 0.000 0.500 0.393
Ag1 0.250 0.250 0.197
Te1 0.000 0.202 0.483
Te2 0.202 0.500 0.910
```

## Properties
* volume: 29.89 Å³ per atom
* uncorrected energy: -4.584 eV/atom
* total magnetic moment: 0.000 μB/atom